Record 1
Computed, not measured: CaBeTeN2 after structural relaxation at the PBE level of DFT.

Summary:
Formation energy from raw total energies, eV per atom: 1.75
Density of states at the Fermi level, states/eV/f.u.: 5.45
Total DFT energy (no corrections), eV per atom: -3.36
Crystal system: tetragonal
Energy above the most stable polymorph in this dataset, meV per atom: 951
Mass density, g/cm3: 3.04
Size of the total moment, μB/f.u.: 0.0

CIF file:
```
data_CaBeTeN2
_chemical_formula_sum 'Ca1 Be1 Te1 N2'
_cell_length_a 4.1601
_cell_length_b 4.1601
_cell_length_c 6.4704
_cell_angle_alpha 90.00
_cell_angle_beta 90.00
_cell_angle_gamma 90.00
_space_group_name_H-M_alt 'P 4/m m m'
_space_group_IT_number 123
_space_group_name_Hall '-P 4 2'
loop_
_atom_site_label
_atom_site_fract_x
_atom_site_fract_y
_atom_site_fract_z
Ca1 0.0000 0.0000 0.0000
Be1 0.5000 0.5000 0.5000
Te1 0.0000 0.0000 0.5000
N1 0.0000 0.5000 0.0000
```

=====

Record 2
Computed, not measured: CaBeTeN2 after structural relaxation at the PBE level of DFT.

Summary:
Formation energy from raw total energies, eV per atom: 0.80
Density of states at the Fermi level, states/eV/f.u.: 3.87
Total DFT energy (no corrections), eV per atom: -4.31
Crystal system: tetragonal
Energy above the most stable polymorph in this dataset, meV per atom: 0
Mass density, g/cm3: 3.94
Size of the total moment, μB/f.u.: 3.6

CIF file:
```
data_CaBeTeN2
_chemical_formula_sum 'Ca1 Be1 Te1 N2'
_cell_length_a 4.0943
_cell_length_b 4.0943
_cell_length_c 5.1494
_cell_angle_alpha 90.00
_cell_angle_beta 90.00
_cell_angle_gamma 90.00
_space_group_name_H-M_alt 'P 4/m m m'
_space_group_IT_number 123
_space_group_name_Hall '-P 4 2'
loop_
_atom_site_label
_atom_site_fract_x
_atom_site_fract_y
_atom_site_fract_z
Ca1 0.0000 0.0000 0.0000
Be1 0.5000 0.5000 0.5000
Te1 0.5000 0.5000 0.0000
N1 0.0000 0.5000 0.5000
```

=====

Record 3
Computed, not measured: CaBeTeN2 after structural relaxation at the PBE level of DFT.

Summary:
Formation energy from raw total energies, eV per atom: 1.59
Density of states at the Fermi level, states/eV/f.u.: 3.38
Total DFT energy (no corrections), eV per atom: -3.51
Crystal system: tetragonal
Energy above the most stable polymorph in this dataset, meV per atom: 797
Mass density, g/cm3: 3.22
Size of the total moment, μB/f.u.: 0.1

CIF file:
```
data_CaBeTeN2
_chemical_formula_sum 'Ca1 Be1 Te1 N2'
_cell_length_a 4.1754
_cell_length_b 4.1754
_cell_length_c 6.0544
_cell_angle_alpha 90.00
_cell_angle_beta 90.00
_cell_angle_gamma 90.00
_space_group_name_H-M_alt 'P 4/m m m'
_space_group_IT_number 123
_space_group_name_Hall '-P 4 2'
loop_
_atom_site_label
_atom_site_fract_x
_atom_site_fract_y
_atom_site_fract_z
Ca1 0.0000 0.0000 0.0000
Be1 0.5000 0.5000 0.0000
Te1 0.0000 0.0000 0.5000
N1 0.0000 0.5000 0.5000
```

=====

Record 4
Computed, not measured: CaTh2BeN4 after structural relaxation at the PBE level of DFT.

Summary:
Formation energy from raw total energies, eV per atom: -1.30
Total DFT energy (no corrections), eV per atom: -8.04
Crystal system: orthorhombic
Mass density, g/cm3: 7.30
Size of the total moment, μB/f.u.: 0.0

CIF file:
```
data_CaTh2BeN4
_chemical_formula_sum 'Ca4 Th8 Be4 N16'
_cell_length_a 3.7325
_cell_length_b 12.2652
_cell_length_c 11.3136
_cell_angle_alpha 90.00
_cell_angle_beta 90.00
_cell_angle_gamma 90.00
_space_group_name_H-M_alt 'C m c m'
_space_group_IT_number 63
_space_group_name_Hall '-C 2c 2'
loop_
_atom_site_label
_atom_site_fract_x
_atom_site_fract_y
_atom_site_fract_z
Ca1 0.0000 0.0689 0.2500
Th1 0.0000 0.3705 0.0622
Be1 0.0000 0.2240 0.7500
N1 0.0000 0.0000 0.0000
N2 0.0000 0.2533 0.6162
N3 0.0000 0.4446 0.2500
```

=====

Record 5
Computed, not measured: CaThBeN3 after structural relaxation at the PBE level of DFT.

Summary:
Formation energy from raw total energies, eV per atom: -0.99
Density of states at the Fermi level, states/eV/f.u.: 4.19
Total DFT energy (no corrections), eV per atom: -7.34
Crystal system: monoclinic
Mass density, g/cm3: 6.22
Size of the total moment, μB/f.u.: 0.3

CIF file:
```
data_CaThBeN3
_chemical_formula_sum 'Ca2 Th2 Be2 N6'
_cell_length_a 6.9092
_cell_length_b 3.4516
_cell_length_c 7.2791
_cell_angle_alpha 90.00
_cell_angle_beta 96.45
_cell_angle_gamma 90.00
_space_group_name_H-M_alt 'P 1 21/m 1'
_space_group_IT_number 11
loop_
_space_group_symop_operation_xyz
'x,y,z'
'-x,-y,-z'
'-x,y+1/2,-z'
'x,-y+1/2,z'
loop_
_atom_site_label
_atom_site_fract_x
_atom_site_fract_y
_atom_site_fract_z
Ca1 0.1924 0.2500 0.1493
Th1 0.2059 0.2500 0.6402
Be1 0.4089 0.7500 0.9258
N1 0.1485 0.7500 0.4133
N2 0.1643 0.7500 0.8693
N3 0.4971 0.2500 0.8517
```

=====

Record 6
Computed, not measured: CaTmBeN2 after structural relaxation at the PBE level of DFT.

Summary:
Formation energy from raw total energies, eV per atom: -0.91
Density of states at the Fermi level, states/eV/f.u.: 1.82
Total DFT energy (no corrections), eV per atom: -6.28
Crystal system: orthorhombic
Mass density, g/cm3: 4.95
Size of the total moment, μB/f.u.: 0.0

CIF file:
```
data_CaTmBeN2
_chemical_formula_sum 'Ca2 Tm2 Be2 N4'
_cell_length_a 5.0429
_cell_length_b 5.0718
_cell_length_c 6.4494
_cell_angle_alpha 90.00
_cell_angle_beta 90.00
_cell_angle_gamma 90.00
_space_group_name_H-M_alt 'P c c m'
_space_group_IT_number 49
loop_
_space_group_symop_operation_xyz
'x,y,z'
'-x,-y,-z'
'-x,-y,z'
'x,y,-z'
'x,-y,-z+1/2'
'-x,y,z+1/2'
'-x,y,-z+1/2'
'x,-y,z+1/2'
loop_
_atom_site_label
_atom_site_fract_x
_atom_site_fract_y
_atom_site_fract_z
Ca1 0.0000 0.0000 0.2500
Tm1 0.5000 0.5000 0.2500
Be1 0.5000 0.0000 0.0000
N1 0.3080 0.2392 0.0000
```

=====

Record 7
Computed, not measured: Ca3U3BeN8 after structural relaxation at the PBE level of DFT.

Summary:
Formation energy from raw total energies, eV per atom: -0.99
Density of states at the Fermi level, states/eV/f.u.: 7.34
Total DFT energy (no corrections), eV per atom: -8.33
Crystal system: monoclinic
Mass density, g/cm3: 7.16
Size of the total moment, μB/f.u.: 2.1

CIF file:
```
data_Ca3U3BeN8
_chemical_formula_sum 'Ca6 U6 Be2 N16'
_cell_length_a 11.6896
_cell_length_b 6.7567
_cell_length_c 6.8314
_cell_angle_alpha 90.00
_cell_angle_beta 124.81
_cell_angle_gamma 90.00
_space_group_name_H-M_alt 'C 1 2/m 1'
_space_group_IT_number 12
loop_
_space_group_symop_operation_xyz
'x,y,z'
'-x,-y,-z'
'-x,y,-z'
'x,-y,z'
'x+1/2,y+1/2,z'
'-x+1/2,-y+1/2,-z'
'-x+1/2,y+1/2,-z'
'x+1/2,-y+1/2,z'
loop_
_atom_site_label
_atom_site_fract_x
_atom_site_fract_y
_atom_site_fract_z
Ca1 0.0000 0.0000 0.0000
Ca2 0.2500 0.2500 0.0000
U1 0.0000 0.5000 0.5000
U2 0.2500 0.2500 0.5000
Be1 0.0000 0.0000 0.5000
N1 0.0200 0.2505 0.3097
N2 0.2295 0.0000 0.6894
N3 0.2424 0.5000 0.7271
```

=====

Record 8
Computed, not measured: CaUBeN3 after structural relaxation at the PBE level of DFT.

Summary:
Formation energy from raw total energies, eV per atom: -1.20
Density of states at the Fermi level, states/eV/f.u.: 2.01
Total DFT energy (no corrections), eV per atom: -8.20
Crystal system: monoclinic
Mass density, g/cm3: 6.79
Size of the total moment, μB/f.u.: 1.0

CIF file:
```
data_CaUBeN3
_chemical_formula_sum 'Ca2 U2 Be2 N6'
_cell_length_a 6.8720
_cell_length_b 3.3338
_cell_length_c 7.1400
_cell_angle_alpha 90.00
_cell_angle_beta 100.13
_cell_angle_gamma 90.00
_space_group_name_H-M_alt 'P 1 21/m 1'
_space_group_IT_number 11
loop_
_space_group_symop_operation_xyz
'x,y,z'
'-x,-y,-z'
'-x,y+1/2,-z'
'x,-y+1/2,z'
loop_
_atom_site_label
_atom_site_fract_x
_atom_site_fract_y
_atom_site_fract_z
Ca1 0.2130 0.2500 0.1709
U1 0.1841 0.2500 0.6619
Be1 0.4048 0.7500 0.9285
N1 0.1419 0.7500 0.4352
N2 0.1541 0.7500 0.8697
N3 0.4860 0.2500 0.8400
```

=====

Record 9
Computed, not measured: Ca4U3BeN8 after structural relaxation at the PBE level of DFT.

Summary:
Formation energy from raw total energies, eV per atom: -1.07
Density of states at the Fermi level, states/eV/f.u.: 9.25
Total DFT energy (no corrections), eV per atom: -8.08
Crystal system: monoclinic
Mass density, g/cm3: 7.23
Size of the total moment, μB/f.u.: 4.0

CIF file:
```
data_Ca4U3BeN8
_chemical_formula_sum 'Ca8 U6 Be2 N16'
_cell_length_a 11.8844
_cell_length_b 6.7891
_cell_length_c 6.8891
_cell_angle_alpha 90.00
_cell_angle_beta 124.66
_cell_angle_gamma 90.00
_space_group_name_H-M_alt 'C 1 2/m 1'
_space_group_IT_number 12
loop_
_space_group_symop_operation_xyz
'x,y,z'
'-x,-y,-z'
'-x,y,-z'
'x,-y,z'
'x+1/2,y+1/2,z'
'-x+1/2,-y+1/2,-z'
'-x+1/2,y+1/2,-z'
'x+1/2,-y+1/2,z'
loop_
_atom_site_label
_atom_site_fract_x
_atom_site_fract_y
_atom_site_fract_z
Ca1 0.0000 0.0000 0.0000
Ca2 0.0000 0.5000 0.0000
Ca3 0.2500 0.2500 0.0000
U1 0.0000 0.0000 0.5000
U2 0.2500 0.2500 0.5000
Be1 0.0000 0.5000 0.5000
N1 0.0149 0.2454 0.2893
N2 0.2395 0.0000 0.7195
N3 0.2474 0.5000 0.7176
```

=====

Record 10
Computed, not measured: Ca2BeVN4 after structural relaxation at the PBE level of DFT.

Summary:
Formation energy from raw total energies, eV per atom: -0.88
Density of states at the Fermi level, states/eV/f.u.: 3.48
Total DFT energy (no corrections), eV per atom: -7.15
Crystal system: orthorhombic
Mass density, g/cm3: 3.20
Size of the total moment, μB/f.u.: 0.7

CIF file:
```
data_Ca2BeVN4
_chemical_formula_sum 'Ca4 Be2 V2 N8'
_cell_length_a 5.4338
_cell_length_b 6.6488
_cell_length_c 5.6346
_cell_angle_alpha 90.00
_cell_angle_beta 90.00
_cell_angle_gamma 90.00
_space_group_name_H-M_alt 'P m m n'
_space_group_IT_number 59
loop_
_space_group_symop_operation_xyz
'x,y,z'
'-x,-y,-z'
'-x+1/2,-y+1/2,z'
'x+1/2,y+1/2,-z'
'x+1/2,-y,-z'
'-x+1/2,y,z'
'-x,y+1/2,-z'
'x,-y+1/2,z'
loop_
_atom_site_label
_atom_site_fract_x
_atom_site_fract_y
_atom_site_fract_z
Ca1 0.2500 0.0013 0.2404
Be1 0.2500 0.2500 0.8049
V1 0.2500 0.7500 0.8057
N1 0.0060 0.2500 0.9971
N2 0.2500 0.0001 0.6608
```

=====

Record 11
Computed, not measured: CaBeZnN2 after structural relaxation at the PBE level of DFT.

Summary:
Formation energy from raw total energies, eV per atom: -0.57
Density of states at the Fermi level, states/eV/f.u.: 0.00
Total DFT energy (no corrections), eV per atom: -5.30
Crystal system: monoclinic
Mass density, g/cm3: 3.79
Size of the total moment, μB/f.u.: 0.0

CIF file:
```
data_CaBeZnN2
_chemical_formula_sum 'Ca2 Be2 Zn2 N4'
_cell_length_a 5.4575
_cell_length_b 3.9630
_cell_length_c 5.8687
_cell_angle_alpha 90.00
_cell_angle_beta 100.70
_cell_angle_gamma 90.00
_space_group_name_H-M_alt 'P 1 2/c 1'
_space_group_IT_number 13
loop_
_space_group_symop_operation_xyz
'x,y,z'
'-x,-y,-z'
'-x,y,-z+1/2'
'x,-y,z+1/2'
loop_
_atom_site_label
_atom_site_fract_x
_atom_site_fract_y
_atom_site_fract_z
Ca1 0.0000 0.2318 0.2500
Be1 0.5000 0.0000 0.0000
Zn1 0.5000 0.4842 0.7500
N1 0.2775 0.2505 0.9620
```

=====

Record 12
Computed, not measured: NaCa2Be after structural relaxation at the PBE level of DFT.

Summary:
E_form, eV/atom: 0.4901
Density of states at the Fermi level, states/eV/f.u.: 4.44
Total DFT energy (no corrections), eV per atom: -1.77
Crystal system: tetragonal
Mass density, g/cm3: 1.43
Size of the total moment, μB/f.u.: 0.0

CIF file:
```
data_NaCa2Be
_chemical_formula_sum 'Na4 Ca8 Be4'
_cell_length_a 8.7059
_cell_length_b 8.7059
_cell_length_c 6.8891
_cell_angle_alpha 90.00
_cell_angle_beta 90.00
_cell_angle_gamma 90.00
_space_group_name_H-M_alt 'I -4 2 d'
_space_group_IT_number 122
_space_group_name_Hall 'I -4 2bw'
loop_
_atom_site_label
_atom_site_fract_x
_atom_site_fract_y
_atom_site_fract_z
Na1 0.0000 0.0000 0.0000
Ca1 0.1850 0.7500 0.6250
Be1 0.0000 0.0000 0.5000
```

=====

- The highest total DFT energy (no corrections) belongs to which entry?
  NaCa2Be

=====

- size of the total moment of number 11 (CaBeZnN2)?
  0.0 μB/f.u.